Entry 1:
# RbAs3W

A geometry-optimized RbAs3W structure (PBE-GGA, the Alexandria database).

Calculated values
For the total energy, the calculation gives -5.46 eV per atom. The calculation puts the theoretical density at 6.48 g/cm³. As for the excess energy over the best structure of this formula in the dataset: 0 meV/atom. Its crystal system is cubic.

Structure (CIF):
```
data_RbAs3W
_chemical_formula_sum 'Rb1 As3 W1'
_cell_length_a 5.022
_cell_length_b 5.022
_cell_length_c 5.022
_cell_angle_alpha 90.00
_cell_angle_beta 90.00
_cell_angle_gamma 90.00
_space_group_name_H-M_alt 'P m -3 m'
_space_group_IT_number 221
_space_group_name_Hall '-P 4 2 3'
loop_
_atom_site_label
_atom_site_fract_x
_atom_site_fract_y
_atom_site_fract_z
Rb1 0.000 0.000 0.000
As1 0.000 0.500 0.500
W1 0.500 0.500 0.500
```


Entry 2:
# RbAsW3

A geometry-optimized RbAsW3 structure (PBE-GGA, the Alexandria database).

Calculated values
For the total energy, the calculation gives -6.79 eV per atom. The calculation puts the theoretical density at 10.58 g/cm³. As for the excess energy over the best structure of this formula in the dataset: 0 meV/atom. Its crystal system is cubic.

Structure (CIF):
```
data_RbAsW3
_chemical_formula_sum 'Rb1 As1 W3'
_cell_length_a 4.816
_cell_length_b 4.816
_cell_length_c 4.816
_cell_angle_alpha 90.00
_cell_angle_beta 90.00
_cell_angle_gamma 90.00
_space_group_name_H-M_alt 'P m -3 m'
_space_group_IT_number 221
_space_group_name_Hall '-P 4 2 3'
loop_
_atom_site_label
_atom_site_fract_x
_atom_site_fract_y
_atom_site_fract_z
Rb1 0.000 0.000 0.000
As1 0.500 0.500 0.500
W1 0.000 0.500 0.500
```


Entry 3:
# Rb2AsW

A geometry-optimized Rb2AsW structure (PBE-GGA, the Alexandria database).

Calculated values
For the total energy, the calculation gives -4.16 eV per atom. The calculation puts the theoretical density at 3.27 g/cm³. Its crystal system is tetragonal.

Structure (CIF):
```
data_Rb2AsW
_chemical_formula_sum 'Rb8 As4 W4'
_cell_length_a 13.388
_cell_length_b 13.388
_cell_length_c 4.871
_cell_angle_alpha 90.00
_cell_angle_beta 90.00
_cell_angle_gamma 90.00
_space_group_name_H-M_alt 'I -4 2 d'
_space_group_IT_number 122
_space_group_name_Hall 'I -4 2bw'
loop_
_atom_site_label
_atom_site_fract_x
_atom_site_fract_y
_atom_site_fract_z
Rb1 0.054 0.750 0.125
As1 0.000 0.000 0.000
W1 0.000 0.000 0.500
```


| no. | ΔH_f (0 K) (eV/atom) |
| --- | --- |
| 1 | 0.11 |
| 2 | 2.10 |
| 3 | 0.73 |